# 1
# Pm4Cu5As7

A geometry-optimized Pm4Cu5As7 structure (PBE-GGA, the Alexandria database).

Unit cell a=5.5776 b=5.5776 c=10.8537 alpha=104.89 beta=104.89 gamma=90.00
With the nearest neighbours (Å) after each atom.
Element x y z (fractional)
Pm: 0.1357 0.1357 0.7597  7 As 2.98-3.13, 5 Cu 3.16-3.33
Pm: 0.6239 0.6239 0.7597  7 As 2.98-3.13, 5 Cu 3.16-3.33
Pm: 0.8643 0.3761 0.2403  7 As 2.98-3.13, 5 Cu 3.16-3.33
Pm: 0.3761 0.8643 0.2403  7 As 2.98-3.13, 5 Cu 3.16-3.33
Cu: 0.7489 0.7489 0.4978  4 As 2.51-2.53, 4 Cu 2.79
Cu: 0.2511 0.2511 0.5022  4 As 2.51-2.53, 4 Cu 2.79
Cu: 0.2500 0.7500 0.5000  4 As 2.52, 4 Cu 2.79
Cu: 0.7500 0.2500 0.5000  4 As 2.52, 4 Cu 2.79
Cu: 0.0000 0.0000 0.0000  4 As 2.79
As: 0.9269 0.9269 0.3450  4 Cu 2.51-2.53
As: 0.4181 0.4181 0.3450  4 Cu 2.51-2.53
As: 0.0731 0.5819 0.6550  4 Cu 2.51-2.53
As: 0.5819 0.0731 0.6550  4 Cu 2.51-2.53
As: 0.5000 0.5000 0.0000  4 As 2.79, 4 Pm 3.10
As: 0.5000 0.0000 0.0000  2 Cu 2.79, 2 As 2.79
As: 0.0000 0.5000 0.0000  2 As 2.79, 2 Cu 2.79

Output
Fermi-level density of states   3.53 states/eV per cell
Total energy   -5.2621 eV/atom
SG   I-42m, No. 121
Energy relative to the elements   -0.7602 eV/atom
Theoretical density   7.5 g/cm³


# 2
# PmCu2As2

A geometry-optimized PmCu2As2 structure (PBE-GGA, the Alexandria database).

Unit cell a=6.6324 b=6.6324 c=6.2507 alpha=116.45 beta=116.45 gamma=98.21
With the nearest neighbours (Å) after each atom.
Element x y z (fractional)
Pm: 0.1262 0.8738 0.2500  6 As 2.93-3.22, 2 Cu 3.26
Pm: 0.8738 0.1262 0.7500  6 As 2.93-3.22, 2 Cu 3.26
Cu: 0.7732 0.5180 0.5388  4 As 2.42-2.46, 1 Cu 2.65
Cu: 0.4820 0.2268 0.9612  4 As 2.42-2.46, 1 Cu 2.65
Cu: 0.5180 0.7732 0.0388  4 As 2.42-2.46, 1 Cu 2.65
Cu: 0.2268 0.4820 0.4612  4 As 2.42-2.46, 1 Cu 2.65
As: 0.4210 0.5790 0.2500  4 Cu 2.42-2.46
As: 0.8336 0.1664 0.2500  4 Cu 2.42-2.45
As: 0.1664 0.8336 0.7500  4 Cu 2.42-2.45
As: 0.5790 0.4210 0.7500  4 Cu 2.42-2.46

Output
Fermi-level density of states   4.10 states/eV per cell
Distance to the lowest polymorph of the same formula   131 meV per atom
Total energy   -4.9495 eV/atom
SG   C2/c, No. 15
Energy relative to the elements   -0.5011 eV/atom
Theoretical density   7.0 g/cm³